A plane-wave DFT calculation with PBE was carried out for a relaxed structure of Cs2Ce2PuS6.

Unit cell a=7.1946 b=7.1946 c=8.5318 alpha=98.09 beta=98.09 gamma=119.92
Last column: nearest neighbours and their distance in Å.
Positions (direct):
1 Cs 0.1672 0.8328 0.0000  6 S 3.57-3.58
2 Cs 0.8328 0.1672 0.0000  6 S 3.57-3.58
3 Ce 0.3340 0.6660 0.5000  6 S 2.79-2.81
4 Ce 0.6660 0.3340 0.5000  6 S 2.79-2.81
5 Pu 0.0000 0.0000 0.5000  6 S 2.77-2.79
6 S 0.0562 0.3899 0.6752  1 Pu 2.79, 2 Ce 2.79-2.81
7 S 0.2704 0.2704 0.3245  1 Pu 2.77, 2 Ce 2.80
8 S 0.3899 0.0562 0.6752  1 Pu 2.79, 2 Ce 2.79-2.81
9 S 0.6101 0.9438 0.3248  1 Pu 2.79, 2 Ce 2.79-2.81
10 S 0.7296 0.7296 0.6755  1 Pu 2.77, 2 Ce 2.80
11 S 0.9438 0.6101 0.3248  1 Pu 2.79, 2 Ce 2.79-2.81

Computed properties:
theoretical density = 4.44 Mg/m³


A plane-wave DFT calculation with PBE was carried out for a relaxed structure of CsCePuS4.

Unit cell a=8.6669 b=8.6669 c=8.6669 alpha=120.43 beta=119.36 gamma=90.18
Last column: nearest neighbours and their distance in Å.
Positions (direct):
1 Cs 0.3792 0.1292 0.2500  4 S 3.19-3.20
2 Cs 0.6208 0.8708 0.7500  4 S 3.19-3.20
3 Ce 0.0000 0.5000 0.5000  6 S 2.81
4 Ce 0.5000 0.5000 0.0000  6 S 2.81
5 Pu 0.0000 0.0000 0.5000  6 S 2.77-2.78
6 Pu 0.0000 0.5000 0.0000  6 S 2.77-2.78
7 S 0.1720 0.7260 0.4460  2 Pu 2.77, 1 Ce 2.81
8 S 0.2200 0.2740 0.9460  2 Pu 2.77, 1 Ce 2.81
9 S 0.2248 0.2740 0.5492  1 Pu 2.78, 2 Ce 2.81
10 S 0.2248 0.6756 0.9508  1 Pu 2.78, 2 Ce 2.81
11 S 0.7752 0.3244 0.0492  1 Pu 2.78, 2 Ce 2.81
12 S 0.7752 0.7260 0.4508  1 Pu 2.78, 2 Ce 2.81
13 S 0.7800 0.7260 0.0540  2 Pu 2.77, 1 Ce 2.81
14 S 0.8280 0.2740 0.5540  2 Pu 2.77, 1 Ce 2.81

Computed properties:
theoretical density = 4.65 Mg/m³


A plane-wave DFT calculation with PBE was carried out for a relaxed structure of Cs2CePu2Se6.

Unit cell a=7.4113 b=7.4113 c=8.8762 alpha=97.96 beta=97.96 gamma=120.10
Last column: nearest neighbours and their distance in Å.
Positions (direct):
1 Cs 0.1665 0.8335 0.0000  6 Se 3.67-3.69
2 Cs 0.8335 0.1665 0.0000  6 Se 3.67-3.69
3 Ce 0.0000 0.0000 0.5000  6 Se 2.92-2.93
4 Pu 0.3337 0.6663 0.5000  6 Se 2.90
5 Pu 0.6663 0.3337 0.5000  6 Se 2.90
6 Se 0.0587 0.3959 0.6797  2 Pu 2.90, 1 Ce 2.93
7 Se 0.2758 0.2758 0.3199  2 Pu 2.90, 1 Ce 2.92
8 Se 0.3959 0.0587 0.6797  2 Pu 2.90, 1 Ce 2.93
9 Se 0.6041 0.9413 0.3203  2 Pu 2.90, 1 Ce 2.93
10 Se 0.7242 0.7242 0.6801  2 Pu 2.90, 1 Ce 2.92
11 Se 0.9413 0.6041 0.3203  2 Pu 2.90, 1 Ce 2.93

Computed properties:
theoretical density = 5.60 Mg/m³


A plane-wave DFT calculation with PBE was carried out for a relaxed structure of Cs3CePu2Se6.

Unit cell a=7.5743 b=7.5743 c=8.7271 alpha=98.33 beta=98.33 gamma=119.98
Last column: nearest neighbours and their distance in Å.
Positions (direct):
1 Cs 0.0000 0.0000 0.0000  6 Se 3.64-3.65
2 Cs 0.3333 0.6667 0.0000  6 Se 3.64-3.65
3 Cs 0.6667 0.3333 0.0000  6 Se 3.64-3.65
4 Ce 0.5000 0.5000 0.5000  6 Se 2.97
5 Pu 0.1667 0.8333 0.5000  6 Se 2.96
6 Pu 0.8333 0.1667 0.5000  6 Se 2.96
7 Se 0.1035 0.4382 0.3146  2 Pu 2.96, 1 Ce 2.97
8 Se 0.2269 0.2269 0.6852  2 Pu 2.96, 1 Ce 2.97
9 Se 0.4382 0.1035 0.3146  2 Pu 2.96, 1 Ce 2.97
10 Se 0.5618 0.8965 0.6854  2 Pu 2.96, 1 Ce 2.97
11 Se 0.7731 0.7731 0.3148  2 Pu 2.96, 1 Ce 2.97
12 Se 0.8965 0.5618 0.6854  2 Pu 2.96, 1 Ce 2.97

Computed properties:
theoretical density = 6.00 Mg/m³


A plane-wave DFT calculation with PBE was carried out for a relaxed structure of Cs2CePuSe4.

Unit cell a=7.6051 b=4.3893 c=8.7330 alpha=90.00 beta=106.89 gamma=90.00
Last column: nearest neighbours and their distance in Å.
Positions (direct):
1 Cs 0.0000 0.0000 0.0000  6 Se 3.64-3.66
2 Cs 0.5000 0.5000 0.0000  6 Se 3.64-3.65
3 Ce 0.0000 0.5000 0.5000  6 Se 2.97-2.98
4 Pu 0.5000 0.0000 0.5000  6 Se 2.97-2.98
5 Se 0.2291 0.0000 0.6873  2 Ce 2.98, 1 Pu 2.98
6 Se 0.2723 0.5000 0.3150  2 Pu 2.97, 1 Ce 2.97
7 Se 0.7277 0.5000 0.6850  2 Pu 2.97, 1 Ce 2.97
8 Se 0.7709 0.0000 0.3127  2 Ce 2.98, 1 Pu 2.98

Computed properties:
theoretical density = 5.75 Mg/m³


A plane-wave DFT calculation with PBE was carried out for a relaxed structure of Cs3Ce2PuSe6.

Unit cell a=7.6310 b=7.6310 c=8.7370 alpha=98.38 beta=98.38 gamma=119.99
Last column: nearest neighbours and their distance in Å.
Positions (direct):
1 Cs 0.0000 0.0000 0.0000  6 Se 3.65
2 Cs 0.3335 0.6665 0.0000  6 Se 3.65
3 Cs 0.6665 0.3335 0.0000  6 Se 3.65
4 Ce 0.1667 0.8333 0.5000  6 Se 2.99
5 Ce 0.8333 0.1667 0.5000  6 Se 2.99
6 Pu 0.5000 0.5000 0.5000  6 Se 2.98
7 Se 0.1046 0.4377 0.3130  1 Pu 2.98, 2 Ce 2.99
8 Se 0.2292 0.2292 0.6870  1 Pu 2.98, 2 Ce 2.99
9 Se 0.4377 0.1046 0.3130  1 Pu 2.98, 2 Ce 2.99
10 Se 0.5623 0.8954 0.6870  1 Pu 2.98, 2 Ce 2.99
11 Se 0.7708 0.7708 0.3130  1 Pu 2.98, 2 Ce 2.99
12 Se 0.8954 0.5623 0.6870  1 Pu 2.98, 2 Ce 2.99

Computed properties:
theoretical density = 5.50 Mg/m³


A plane-wave DFT calculation with PBE was carried out for a relaxed structure of Cs3CePu2Te6.

Unit cell a=8.0957 b=8.0957 c=9.2826 alpha=98.36 beta=98.36 gamma=120.00
Last column: nearest neighbours and their distance in Å.
Positions (direct):
1 Cs 0.0000 0.0000 0.0000  6 Te 3.85-3.86
2 Cs 0.3335 0.6665 0.0000  6 Te 3.85-3.86
3 Cs 0.6665 0.3335 0.0000  6 Te 3.85-3.86
4 Ce 0.5000 0.5000 0.5000  6 Te 3.19
5 Pu 0.1667 0.8333 0.5000  6 Te 3.18
6 Pu 0.8333 0.1667 0.5000  6 Te 3.18
7 Te 0.1018 0.4365 0.3097  2 Pu 3.18, 1 Ce 3.19
8 Te 0.2286 0.2286 0.6901  2 Pu 3.18, 1 Ce 3.19
9 Te 0.4365 0.1018 0.3097  2 Pu 3.18, 1 Ce 3.19
10 Te 0.5635 0.8982 0.6903  2 Pu 3.18, 1 Ce 3.19
11 Te 0.7714 0.7714 0.3099  2 Pu 3.18, 1 Ce 3.19
12 Te 0.8982 0.5635 0.6903  2 Pu 3.18, 1 Ce 3.19

Computed properties:
theoretical density = 5.90 Mg/m³


A plane-wave DFT calculation with PBE was carried out for a relaxed structure of CsRbCeS3.

Unit cell a=8.8594 b=8.8594 c=7.4271 alpha=95.50 beta=95.50 gamma=127.13
Last column: nearest neighbours and their distance in Å.
Positions (direct):
1 Cs 0.2444 0.7556 0.7500  6 S 3.74-3.99
2 Cs 0.7556 0.2444 0.2500  6 S 3.74-3.99
3 Rb 0.4193 0.5807 0.2500  5 S 3.23-3.32
4 Rb 0.5807 0.4193 0.7500  5 S 3.23-3.32
5 Ce 0.0547 0.9453 0.2500  5 S 2.55-2.73
6 Ce 0.9453 0.0547 0.7500  5 S 2.55-2.73
7 S 0.1605 0.2506 0.4981  2 Ce 2.69-2.73
8 S 0.2157 0.7843 0.2500  1 Ce 2.55
9 S 0.2506 0.1605 0.9981  2 Ce 2.69-2.73
10 S 0.7494 0.8395 0.0019  2 Ce 2.69-2.73
11 S 0.7843 0.2157 0.7500  1 Ce 2.55
12 S 0.8395 0.7494 0.5019  2 Ce 2.69-2.73

Computed properties:
theoretical density = 3.33 Mg/m³


A plane-wave DFT calculation with PBE was carried out for a relaxed structure of CsCeRhS3.

Unit cell a=9.3663 b=4.0856 c=9.7095 alpha=90.00 beta=110.54 gamma=90.00
Last column: nearest neighbours and their distance in Å.
Positions (direct):
1 Cs 0.2054 0.2500 0.2425  7 S 3.56-3.61, 1 Rh 3.92
2 Cs 0.7946 0.7500 0.7575  7 S 3.56-3.61, 1 Rh 3.92
3 Ce 0.3215 0.7500 0.8424  6 S 2.72-2.81
4 Ce 0.6785 0.2500 0.1576  6 S 2.72-2.81
5 Rh 0.0827 0.2500 0.5895  4 S 2.36-2.43
6 Rh 0.9173 0.7500 0.4105  4 S 2.36-2.43
7 S 0.1337 0.2500 0.8524  1 Rh 2.43
8 S 0.1830 0.7500 0.5413  3 Rh 2.36
9 S 0.4695 0.7500 0.1487  3 Ce 2.81
10 S 0.5305 0.2500 0.8513  3 Ce 2.81
11 S 0.8170 0.2500 0.4587  3 Rh 2.36
12 S 0.8663 0.7500 0.1476  1 Rh 2.43

Computed properties:
theoretical density = 4.51 Mg/m³


Number 1: total energy -6.525 eV/atom. Number 2: total energy -6.966 eV/atom. Number 3: total energy -6.725 eV/atom. Number 4: total energy -6.356 eV/atom. Number 5: total energy -6.046 eV/atom. Number 6: total energy -5.734 eV/atom. Number 7: total energy -5.847 eV/atom. Number 8: total energy -4.859 eV/atom. Number 9: total energy -5.735 eV/atom.